1.
The following is a PBE calculation of an optimized crystal structure of ReBiO2, from Alexandria.

Cell: 7.8015 7.8015 7.8015 Å, 22.63 22.63 22.63°
Closest atoms and distances in Å follow each position.
Positions (direct):
Re: 0.0000 0.0000 0.0000  2 O 1.82
Bi: 0.5000 0.5000 0.5000  6 O 2.65
O: 0.0800 0.0800 0.0800  1 Re 1.82
O: 0.9200 0.9200 0.9200  1 Re 1.82

Values from the calculation:
Fermi-level density of states = 1.96 states/eV/cell
Formation energy (no corrections) = -182 kJ/mol of formula units

***

2.
The following is a PBE calculation of an optimized crystal structure of Mg2GaPt, from Alexandria.

Cell: 4.3762 4.3762 5.1962 Å, 115.00 115.00 59.94°
Closest atoms and distances in Å follow each position.
Positions (direct):
Mg: 0.0000 0.0000 0.0000  3 Pt 2.78, 4 Mg 2.91-3.00, 4 Ga 2.93-3.06
Mg: 0.2135 0.2135 0.6417  4 Pt 2.79-3.08, 3 Ga 2.90-2.91, 4 Mg 2.91-3.00
Ga: 0.7757 0.7757 0.3263  3 Pt 2.54-2.55
Pt: 0.4195 0.4195 0.2578  3 Ga 2.54-2.55, 4 Mg 2.78-2.79

Values from the calculation:
Fermi-level density of states = 1.80 states/eV/cell
Energy of formation = -216.4 kJ/mol of formula units

***

3.
The following is a PBE calculation of an optimized crystal structure of SmCd2Rh, from Alexandria.

Cell: 10.9055 10.9055 10.9055 Å, 16.41 16.41 16.41°
Closest atoms and distances in Å follow each position.
Positions (direct):
Sm: 0.0000 0.0000 0.0000  6 Sm 3.11, 2 Cd 3.20
Cd: 0.0993 0.0993 0.0993  3 Rh 2.82, 6 Cd 3.11
Cd: 0.9007 0.9007 0.9007  3 Rh 2.82, 6 Cd 3.11
Rh: 0.5000 0.5000 0.5000  6 Cd 2.82, 6 Rh 3.11

Values from the calculation:
Fermi-level density of states = 1.88 states/eV/cell
Energy of formation = 83.3 kJ/mol of formula units

***

4.
The following is a PBE calculation of an optimized crystal structure of InSn3Bi3, from Alexandria.

Cell: 8.5783 8.5783 8.5783 Å, 90.00 90.00 90.00°
Closest atoms and distances in Å follow each position.
Positions (direct):
In: 0.0000 0.0000 0.0000  12 Sn 4.80, 12 Bi 4.80
In: 0.5000 0.5000 0.5000  12 Sn 4.80, 12 Bi 4.80
Sn: 0.0000 0.2500 0.5000  4 Bi 3.03
Sn: 0.0000 0.7500 0.5000  4 Bi 3.03
Sn: 0.2500 0.5000 0.0000  4 Bi 3.03
Sn: 0.5000 0.0000 0.2500  4 Bi 3.03
Sn: 0.5000 0.0000 0.7500  4 Bi 3.03
Sn: 0.7500 0.5000 0.0000  4 Bi 3.03
Bi: 0.0000 0.5000 0.2500  4 Sn 3.03
Bi: 0.0000 0.5000 0.7500  4 Sn 3.03
Bi: 0.2500 0.0000 0.5000  4 Sn 3.03
Bi: 0.5000 0.2500 0.0000  4 Sn 3.03
Bi: 0.5000 0.7500 0.0000  4 Sn 3.03
Bi: 0.7500 0.0000 0.5000  4 Sn 3.03

Values from the calculation:
Fermi-level density of states = 7.19 states/eV/cell
Energy of formation = 214.2 kJ/mol of formula units

***

5.
The following is a PBE calculation of an optimized crystal structure of Pr2SmTh3As6, from Alexandria.

Cell: 9.5394 9.5394 8.5180 Å, 102.87 102.87 25.86°
Closest atoms and distances in Å follow each position.
Positions (direct):
Pr: 0.1664 0.1664 0.3330  6 As 3.04-3.05
Pr: 0.8336 0.8336 0.6670  6 As 3.04-3.05
Sm: 0.5000 0.5000 0.0000  6 As 3.01
Th: 0.1670 0.1670 0.8335  6 As 2.99-3.02
Th: 0.5000 0.5000 0.5000  6 As 2.99-3.02
Th: 0.8330 0.8330 0.1665  6 As 2.99-3.02
As: 0.0015 0.0015 0.7510  3 Th 3.00-3.02, 2 Sm 3.01, 1 Pr 3.04
As: 0.3337 0.3337 0.9208  3 Th 2.99-3.02, 1 Sm 3.01, 2 Pr 3.04
As: 0.3347 0.3347 0.4136  3 Th 2.99, 3 Pr 3.04-3.05
As: 0.6653 0.6653 0.5864  3 Th 2.99, 3 Pr 3.04-3.05
As: 0.6663 0.6663 0.0792  3 Th 2.99-3.02, 1 Sm 3.01, 2 Pr 3.04
As: 0.9985 0.9985 0.2490  3 Th 3.00-3.02, 2 Sm 3.01, 1 Pr 3.04

Values from the calculation:
Fermi-level density of states = 5.54 states/eV/cell
Energy of formation = -1704.3 kJ/mol of formula units

***

6.
The following is a PBE calculation of an optimized crystal structure of CsRbZnF4, from Alexandria.

Cell: 5.9349 6.4353 8.3479 Å, 90.00 106.10 90.00°
Closest atoms and distances in Å follow each position.
Positions (direct):
Cs: 0.1571 0.2500 0.1156  8 F 2.99-3.32
Cs: 0.8429 0.7500 0.8844  8 F 2.99-3.32
Rb: 0.1902 0.7500 0.4946  5 F 2.84-3.06
Rb: 0.8098 0.2500 0.5054  5 F 2.84-3.06
Zn: 0.3841 0.2500 0.7340  4 F 1.91-1.98
Zn: 0.6159 0.7500 0.2660  4 F 1.91-1.98
F: 0.2123 0.0119 0.7753  1 Zn 1.92
F: 0.2123 0.4881 0.7753  1 Zn 1.92
F: 0.2832 0.7500 0.1786  1 Zn 1.91
F: 0.3179 0.2500 0.4887  1 Zn 1.98
F: 0.6821 0.7500 0.5113  1 Zn 1.98
F: 0.7168 0.2500 0.8214  1 Zn 1.91
F: 0.7877 0.5119 0.2247  1 Zn 1.92
F: 0.7877 0.9881 0.2247  1 Zn 1.92

Values from the calculation:
Fermi-level density of states = 0.00 states/eV/cell
Formation energy (no corrections) = -1733 kJ/mol of formula units

***

7.
The following is a PBE calculation of an optimized crystal structure of MgCr4Os, from Alexandria.

Cell: 4.7886 4.7886 4.7886 Å, 60.00 60.00 60.00°
Closest atoms and distances in Å follow each position.
Positions (direct):
Mg: 0.0000 0.0000 0.0000  12 Cr 2.81, 4 Os 2.93
Cr: 0.3742 0.3742 0.3742  6 Cr 2.38-2.41
Cr: 0.3742 0.3742 0.8774  6 Cr 2.38-2.41
Cr: 0.3742 0.8774 0.3742  6 Cr 2.38-2.41
Cr: 0.8774 0.3742 0.3742  6 Cr 2.38-2.41
Os: 0.7500 0.7500 0.7500  12 Cr 2.81, 4 Mg 2.93

Values from the calculation:
Fermi-level density of states = 6.67 states/eV/cell
Energy of formation = 89.7 kJ/mol of formula units

***

8.
The following is a PBE calculation of an optimized crystal structure of Sr2In5Au, from Alexandria.

Cell: 9.5861 9.5861 10.4454 Å, 90.00 90.00 151.19°
Closest atoms and distances in Å follow each position.
Positions (direct):
Sr: 0.0000 0.0000 0.0000  10 In 3.56-3.94, 4 Au 3.68
Sr: 0.0000 0.0000 0.5000  10 In 3.56-3.94, 4 Au 3.68
Sr: 0.1911 0.8089 0.7500  10 In 3.42-3.71, 2 Au 3.48
Sr: 0.8089 0.1911 0.2500  10 In 3.42-3.71, 2 Au 3.48
In: 0.1940 0.8060 0.1050  4 In 2.95-3.15
In: 0.1940 0.8060 0.3950  4 In 2.95-3.15
In: 0.3586 0.6414 0.0324  1 Au 2.79, 3 In 2.95-3.08
In: 0.3586 0.6414 0.4676  1 Au 2.79, 3 In 2.95-3.08
In: 0.4068 0.5932 0.7500  1 Au 2.75
In: 0.5932 0.4068 0.2500  1 Au 2.75
In: 0.6414 0.3586 0.5324  1 Au 2.79, 3 In 2.95-3.08
In: 0.6414 0.3586 0.9676  1 Au 2.79, 3 In 2.95-3.08
In: 0.8060 0.1940 0.6050  4 In 2.95-3.15
In: 0.8060 0.1940 0.8950  4 In 2.95-3.15
Au: 0.4453 0.5547 0.2500  3 In 2.75-2.79
Au: 0.5547 0.4453 0.7500  3 In 2.75-2.79

Values from the calculation:
Energy relative to the lowest polymorph listed for this composition = 0.000 eV/atom
Fermi-level density of states = 5.76 states/eV/cell
Energy of formation = -319.1 kJ/mol of formula units

***

no.,energy (eV/atom)
1,-7.03
2,-3.63
3,-3.26
4,-3.45
5,-6.84
6,-4.08
7,-8.40
8,-2.96